Entry 1:
Density functional theory data (PBE-GGA) for crystalline SrTaI2N at its relaxed geometry.

a = 6.2308 Å, b = 6.2308 Å, c = 4.3195 Å
α = 90.00°, β = 90.00°, γ = 90.00°
Last column: nearest neighbours and their distance in Å.
Space group P4/mmm (No. 123)
Asymmetric unit:
Sr1 0.0000 0.0000 0.0000 (multiplicity 1)  2 N 2.16
Ta1 0.5000 0.5000 0.5000 (multiplicity 1)  8 I 3.79
I1 0.0000 0.5000 0.0000 (multiplicity 2)  2 Sr 3.12
N1 0.0000 0.0000 0.5000 (multiplicity 1)  2 Sr 2.16

---

Entry 2:
Density functional theory data (PBE-GGA) for crystalline SrTaI2N at its relaxed geometry.

a = 5.8719 Å, b = 5.8719 Å, c = 3.9976 Å
α = 90.00°, β = 90.00°, γ = 90.00°
Last column: nearest neighbours and their distance in Å.
Space group P4/mmm (No. 123)
Asymmetric unit:
Sr1 0.0000 0.0000 0.0000 (multiplicity 1)  8 I 3.55
Ta1 0.5000 0.5000 0.5000 (multiplicity 1)  2 N 2.00
I1 0.0000 0.5000 0.5000 (multiplicity 2)  2 Ta 2.94
N1 0.5000 0.5000 0.0000 (multiplicity 1)  2 Ta 2.00

---

Entry 3:
Density functional theory data (PBE-GGA) for crystalline SrTcIN2 at its relaxed geometry.

a = 4.4930 Å, b = 4.4930 Å, c = 6.3782 Å
α = 90.00°, β = 90.00°, γ = 90.00°
Last column: nearest neighbours and their distance in Å.
Space group P4/mmm (No. 123)
Asymmetric unit:
Sr1 0.0000 0.0000 0.0000 (multiplicity 1)  4 N 2.25
Tc1 0.5000 0.5000 0.5000 (multiplicity 1)  4 I 3.18
I1 0.0000 0.0000 0.5000 (multiplicity 1)  4 Tc 3.18, 2 Sr 3.19
N1 0.0000 0.5000 0.0000 (multiplicity 2)  2 Sr 2.25

---

Entry 4:
Density functional theory data (PBE-GGA) for crystalline SrTcIN2 at its relaxed geometry.

a = 4.1464 Å, b = 4.1464 Å, c = 5.4654 Å
α = 90.00°, β = 90.00°, γ = 90.00°
Last column: nearest neighbours and their distance in Å.
Space group P4/mmm (No. 123)
Asymmetric unit:
Sr1 0.0000 0.0000 0.0000 (multiplicity 1)  4 I 2.93
Tc1 0.5000 0.5000 0.5000 (multiplicity 1)  4 N 2.07
I1 0.5000 0.5000 0.0000 (multiplicity 1)  2 Tc 2.73, 4 Sr 2.93
N1 0.0000 0.5000 0.5000 (multiplicity 2)  2 Tc 2.07

---

Entry 5:
Density functional theory data (PBE-GGA) for crystalline SrTe2IN at its relaxed geometry.

a = 4.8611 Å, b = 4.8611 Å, c = 5.4739 Å
α = 90.00°, β = 90.00°, γ = 90.00°
Last column: nearest neighbours and their distance in Å.
Space group P4/mmm (No. 123)
Asymmetric unit:
Sr1 0.0000 0.0000 0.0000 (multiplicity 1)  4 I 3.44, 8 Te 3.66
Te1 0.0000 0.5000 0.5000 (multiplicity 2)  2 N 2.43
I1 0.5000 0.5000 0.0000 (multiplicity 1)  2 N 2.74
N1 0.5000 0.5000 0.5000 (multiplicity 1)  4 Te 2.43

---

Entry 6:
Density functional theory data (PBE-GGA) for crystalline SrTeIN2 at its relaxed geometry.

a = 4.4185 Å, b = 4.4185 Å, c = 6.0220 Å
α = 90.00°, β = 90.00°, γ = 90.00°
Last column: nearest neighbours and their distance in Å.
Space group P4/mmm (No. 123)
Asymmetric unit:
Sr1 0.0000 0.0000 0.0000 (multiplicity 1)  4 Te 3.12
Te1 0.5000 0.5000 0.0000 (multiplicity 1)  2 I 3.01, 4 Sr 3.12
I1 0.5000 0.5000 0.5000 (multiplicity 1)  4 N 2.21
N1 0.0000 0.5000 0.5000 (multiplicity 2)  2 I 2.21

---

Entry 7:
Density functional theory data (PBE-GGA) for crystalline SrTe2IN at its relaxed geometry.

a = 6.0950 Å, b = 6.0950 Å, c = 4.0661 Å
α = 90.00°, β = 90.00°, γ = 90.00°
Last column: nearest neighbours and their distance in Å.
Space group P4/mmm (No. 123)
Asymmetric unit:
Sr1 0.0000 0.0000 0.0000 (multiplicity 1)  8 Te 3.66, 2 Sr 4.07
Te1 0.0000 0.5000 0.5000 (multiplicity 2)  2 I 3.05
I1 0.5000 0.5000 0.5000 (multiplicity 1)  2 N 2.03
N1 0.5000 0.5000 0.0000 (multiplicity 1)  2 I 2.03

---

Entry 8:
Density functional theory data (PBE-GGA) for crystalline SrTe2IN at its relaxed geometry.

a = 6.5817 Å, b = 6.5817 Å, c = 6.4232 Å
α = 90.00°, β = 90.00°, γ = 90.00°
Last column: nearest neighbours and their distance in Å.
Space group P4/mmm (No. 123)
Asymmetric unit:
Sr1 0.0000 0.0000 0.0000 (multiplicity 1)  2 I 3.21, 4 Te 3.29
Te1 0.0000 0.5000 0.0000 (multiplicity 2)  2 Sr 3.29
I1 0.0000 0.0000 0.5000 (multiplicity 1)  2 Sr 3.21
N1 0.5000 0.5000 0.5000 (multiplicity 1)  8 Te 4.60, 4 I 4.65

---

Number 1: energy above the most stable polymorph in this dataset 1.6755 eV/atom, calculated total energy -18.6 eV per cell, total magnetic moment 0.54 μB/atom. Number 2: energy above the most stable polymorph in this dataset 0.0000 eV/atom, calculated total energy -26.9 eV per cell, total magnetic moment 0.24 μB/atom. Number 3: energy above the most stable polymorph in this dataset 1.7898 eV/atom, calculated total energy -20.1 eV per cell, total magnetic moment 0.94 μB/atom. Number 4: energy above the most stable polymorph in this dataset 0.0000 eV/atom, calculated total energy -29.1 eV per cell, total magnetic moment 0.04 μB/atom. Number 5: energy above the most stable polymorph in this dataset 0.0000 eV/atom, calculated total energy -18.0 eV per cell, total magnetic moment 0.00 μB/atom. Number 6: energy above the most stable polymorph in this dataset 0.3459 eV/atom, calculated total energy -17.6 eV per cell, total magnetic moment 0.21 μB/atom. Number 7: energy above the most stable polymorph in this dataset 0.4033 eV/atom, calculated total energy -16.0 eV per cell, total magnetic moment 0.00 μB/atom. Number 8: energy above the most stable polymorph in this dataset 0.8702 eV/atom, calculated total energy -13.7 eV per cell, total magnetic moment 1.20 μB/atom.